Material: Ni3PbO
Method: DFT, GGA+U
State: relaxed

The structure belongs to space group Pm-3m (No. 221); the cell edges are 4.9644, 4.9644 and 4.9644 Å and the angles 90.00°, 90.00° and 90.00°. The distinct sites, in fractional coordinates, are Ni at (0.0000, 0.0000, 0.5000), Pb at (0.0000, 0.0000, 0.0000) and O at (0.5000, 0.5000, 0.5000).

The calculation puts the mass density at 5419 kg/m³. The energy above the most stable polymorph in this dataset is 1453 meV per atom. The raw total energy comes out at -8.52 eV for the cell shown.